(1)
The following is a meta-GGA SCAN calculation of In2SiAg2Se6 at its PBEsol-relaxed geometry, from the Alexandria database.

Summary:
Its magnetic moment is 0.00 μB per formula unit. The uncorrected formation energy comes out at -480 meV per atom. The calculation puts the calculated total energy at -24.1159 eV per atom.

a b c (Å): 12.6365 7.3808 12.5491
angles (deg): 90.00 109.69 90.00
Closest atoms and distances in Å follow each position.
Space group Cc (No. 9)
Asymmetric unit:
In 0.0000 0.0641 0.0000 (multiplicity 4)  4 Se 2.62-2.64
In 0.3181 0.3995 0.6994 (multiplicity 4)  4 Se 2.62-2.65
Si 0.0662 0.2343 0.7595 (multiplicity 4)  4 Se 2.26-2.28
Ag 0.1347 0.2950 0.3422 (multiplicity 4)  4 Se 2.63-2.73
Ag 0.3404 0.0979 0.0123 (multiplicity 4)  4 Se 2.61-2.70
Se 0.1079 0.4804 0.6709 (multiplicity 4)  1 Si 2.28
Se 0.1438 0.0104 0.2061 (multiplicity 4)  1 Si 2.26
Se 0.1442 0.2719 0.9494 (multiplicity 4)  1 Si 2.27
Se 0.3245 0.2549 0.5112 (multiplicity 4)  2 Ag 2.61-2.63, 2 In 2.62-2.63
Se 0.3771 0.2537 0.2166 (multiplicity 4)  1 Si 2.27
Se 0.4485 0.2573 0.8897 (multiplicity 4)  2 In 2.62, 2 Ag 2.64-2.65

---

(2)
The following is a meta-GGA SCAN calculation of YMg4Co at its PBEsol-relaxed geometry, from the Alexandria database.

Summary:
Its magnetic moment is 0.38 μB per formula unit. The formation energy is 227 meV per atom. The calculation puts the calculated total energy at -10.6138 eV per atom.

a b c (Å): 7.8954 7.8954 7.8954
angles (deg): 90.00 90.00 90.00
Closest atoms and distances in Å follow each position.
Space group F-43m (No. 216)
Asymmetric unit:
Y 0.0000 0.0000 0.0000 (multiplicity 4)  12 Mg 3.28, 4 Co 3.42
Mg 0.1241 0.1241 0.6241 (multiplicity 16)  6 Mg 2.77-2.81
Co 0.2500 0.2500 0.2500 (multiplicity 4)  12 Mg 3.27, 4 Y 3.42